First-principles (PBE) data for LiBeHg2 after structural relaxation, as listed in the Alexandria database.

Properties
The calculation puts the formation enthalpy at 0 K at 0.68 eV/f.u. As for the density of states at the Fermi level: 0.31 states/eV per atom. Its space-group type is No. 166.

Cell lengths 7.2838, 7.2838, 7.2838 Å; angles 28.50, 28.50, 28.50 degrees
Sites, in units of the cell vectors:
1 Be 0.7500 0.7500 0.7500
2 Hg 0.0117 0.0117 0.0117
3 Hg 0.4883 0.4883 0.4883
4 Li 0.2500 0.2500 0.2500



First-principles (PBE) data for La2SiBW after structural relaxation, as listed in the Alexandria database.

Properties
As for the uncorrected formation energy: 1.10 eV per atom. As for the density of states at the Fermi level: 0.73 states/eV per atom. Its space-group type is No. 123.

Cell lengths 5.6013, 4.5771, 5.6013 Å; angles 90.00, 90.00, 90.00 degrees
Each line ends with the local moment (μB).
Sites, in units of the cell vectors:
1 Si 0.0000 0.0000 0.0000  -0.01
2 B 0.5000 0.5000 0.5000  -0.09
3 W 0.0000 0.5000 0.0000  1.00
4 La 0.0000 0.0000 0.5000  0.01
5 La 0.5000 0.0000 0.0000  0.00



First-principles (PBE) data for Si2SnAs after structural relaxation, as listed in the Alexandria database.

Properties
As for the uncorrected formation energy: 0.27 eV per atom. As for the density of states at the Fermi level: 0.70 states/eV per atom. Its space-group type is No. 122.

Cell lengths 5.7960, 5.7960, 7.3531 Å; angles 66.79, 66.79, 90.00 degrees
Sites, in units of the cell vectors:
1 As 0.5000 0.5000 0.0000
2 As 0.2500 0.7500 0.5000
3 Si 0.6039 0.1250 0.2500
4 Si 0.1461 0.6250 0.2500
5 Si 0.3750 0.3961 0.7500
6 Si 0.8750 0.8539 0.7500
7 Sn 0.0000 0.0000 0.0000
8 Sn 0.7500 0.2500 0.5000



First-principles (PBE) data for TbPa3Ga12 after structural relaxation, as listed in the Alexandria database.

Properties
The calculation puts the formation enthalpy at 0 K at -6.71 eV/f.u. As for the density of states at the Fermi level: 1.05 states/eV per atom. Its space-group type is No. 123.

Cell lengths 4.2980, 4.2980, 17.1590 Å; angles 90.00, 90.00, 90.00 degrees
Sites, in units of the cell vectors:
1 Tb 0.0000 0.0000 0.0000
2 Pa 0.0000 0.0000 0.2495
3 Pa 0.0000 0.0000 0.5000
4 Pa 0.0000 0.0000 0.7505
5 Ga 0.5000 0.5000 0.0000
6 Ga 0.5000 0.5000 0.2514
7 Ga 0.5000 0.5000 0.5000
8 Ga 0.5000 0.5000 0.7486
9 Ga 0.5000 0.0000 0.1245
10 Ga 0.5000 0.0000 0.3749
11 Ga 0.5000 0.0000 0.6251
12 Ga 0.5000 0.0000 0.8755
13 Ga 0.0000 0.5000 0.1245
14 Ga 0.0000 0.5000 0.3749
15 Ga 0.0000 0.5000 0.6251
16 Ga 0.0000 0.5000 0.8755



First-principles (PBE) data for MgTa2Si after structural relaxation, as listed in the Alexandria database.

Properties
As for the uncorrected formation energy: 0.01 eV per atom. As for the density of states at the Fermi level: 0.50 states/eV per atom. Its space-group type is No. 35.

Cell lengths 2.9094, 2.9094, 8.7010 Å; angles 90.00, 90.00, 105.78 degrees
Sites, in units of the cell vectors:
1 Mg 0.0000 0.0000 0.5174
2 Si 0.5000 0.5000 0.7619
3 Ta 0.0000 0.0000 0.9814
4 Ta 0.5000 0.5000 0.2393



First-principles (PBE) data for RbBP after structural relaxation, as listed in the Alexandria database.

Properties
The calculation puts the formation enthalpy at 0 K at -0.62 eV/f.u. Its space-group type is No. 44.

Cell lengths 4.7635, 5.0920, 13.9634 Å; angles 90.00, 90.00, 90.00 degrees
Sites, in units of the cell vectors:
1 P 0.0000 0.5000 0.3150
2 P 0.5000 0.0000 0.8150
3 P 0.0000 0.0000 0.6185
4 P 0.5000 0.5000 0.1185
5 B 0.3298 0.0000 0.6918
6 B 0.6702 0.0000 0.6918
7 B 0.8298 0.5000 0.1918
8 B 0.1702 0.5000 0.1918
9 Rb 0.0000 0.5000 0.8022
10 Rb 0.5000 0.0000 0.3022
11 Rb 0.0000 0.0000 0.0394
12 Rb 0.5000 0.5000 0.5394



Energy? In order: -1.390; -5.879; -4.603; -4.760; -7.674; -4.558 eV per atom.